A relaxed structure of Pr3Mg2Cu3, computed with GGA-PBE.

Mass density, g cm⁻³: 5.83
VASP energy, eV per cell: -30.51
ΔE_f, meV/atom: -87

Structure (POSCAR):
```
Pr3Mg2Cu3
1.0
3.485 0.000 0.000
0.000 5.226 0.000
-1.743 -2.613 10.349
Pr Mg Cu
3 2 3
Cartesian
1.743 2.613 2.538
0.000 0.000 7.810
1.743 0.000 0.000
1.743 0.000 4.744
0.000 2.613 5.604
0.000 0.000 2.586
0.000 2.613 0.000
1.743 2.613 7.762
```